VASP calculation (PBE) on crystalline Ac2HoIn at its relaxed geometry.

The energy above the most stable polymorph in this dataset is 25 meV/atom. The formation energy comes out at -0.131 eV per atom. Its magnetization is 0.0 μB/f.u. For the volume, the calculation gives 36.5 Å³ per atom. The density comes out at 8.352 Mg/m³. Its density of states at the Fermi level is 5.20 states/eV/cell.

It has space group P4/mmm (No. 123), with a = 4.169 Å, b = 4.169 Å, c = 8.392 Å, α = 90.00°, β = 90.00° and γ = 90.00°. The inequivalent atoms are Ac at (0.000, 0.000, 0.230), Ho at (0.500, 0.500, 0.500) and In at (0.500, 0.500, 0.000).

***

VASP calculation (PBE) on crystalline Ac4HoIn3 at its relaxed geometry.

The formation energy comes out at -0.253 eV per atom. Its magnetization is 0.0 μB/f.u. For the volume, the calculation gives 34.9 Å³ per atom. The density comes out at 8.440 Mg/m³. Its density of states at the Fermi level is 20.19 states/eV/cell.

It has space group I4/mmm (No. 139), with a = 5.352 Å, b = 5.352 Å, c = 19.474 Å, α = 90.00°, β = 90.00° and γ = 90.00°. The inequivalent atoms are Ac at (0.000, 0.500, 0.130), Ho at (0.000, 0.000, 0.000), In at (0.000, 0.000, 0.250) and In at (0.000, 0.000, 0.500).

***

VASP calculation (PBE) on crystalline AcHo7In4 at its relaxed geometry.

The formation energy comes out at -0.052 eV per atom. Its magnetization is 0.0 μB/f.u. For the volume, the calculation gives 30.5 Å³ per atom. The density comes out at 8.342 Mg/m³. Its density of states at the Fermi level is 25.79 states/eV/cell.

It has space group C2/m (No. 12), with a = 14.219 Å, b = 5.806 Å, c = 10.760 Å, α = 90.00°, β = 124.41° and γ = 90.00°. The inequivalent atoms are Ac at (0.000, 0.000, 0.000), Ho at (0.000, 0.500, 0.000), Ho at (0.061, 0.000, 0.390), Ho at (0.201, 0.500, 0.634), Ho at (0.215, 0.000, 0.876), In at (0.064, 0.500, 0.767) and In at (0.186, 0.500, 0.331).

***

VASP calculation (PBE) on crystalline Ac5HoIn6 at its relaxed geometry.

The formation energy comes out at -0.412 eV per atom. Its magnetization is 0.0 μB/f.u. For the volume, the calculation gives 33.0 Å³ per atom. The density comes out at 8.349 Mg/m³. Its density of states at the Fermi level is 18.53 states/eV/cell.

It has space group C2/m (No. 12), with a = 17.727 Å, b = 7.705 Å, c = 5.897 Å, α = 90.00°, β = 100.82° and γ = 90.00°. The inequivalent atoms are Ac at (0.000, 0.000, 0.000), Ac at (0.161, 0.000, 0.671), Ac at (0.178, 0.500, 0.701), Ho at (0.000, 0.500, 0.000), In at (0.000, 0.288, 0.500) and In at (0.156, 0.273, 0.186).

***

Copy entry 4 word for word.
VASP calculation (PBE) on crystalline Ac5HoIn6 at its relaxed geometry.

The formation energy comes out at -0.412 eV per atom. Its magnetization is 0.0 μB/f.u. For the volume, the calculation gives 33.0 Å³ per atom. The density comes out at 8.349 Mg/m³. Its density of states at the Fermi level is 18.53 states/eV/cell.

It has space group C2/m (No. 12), with a = 17.727 Å, b = 7.705 Å, c = 5.897 Å, α = 90.00°, β = 100.82° and γ = 90.00°. The inequivalent atoms are Ac at (0.000, 0.000, 0.000), Ac at (0.161, 0.000, 0.671), Ac at (0.178, 0.500, 0.701), Ho at (0.000, 0.500, 0.000), In at (0.000, 0.288, 0.500) and In at (0.156, 0.273, 0.186).